Entry from Alexandria via LeMat-Bulk: a relaxed structure of SrNbSbTe2 (PBE).

Output
The value obtained for the calculated total energy is -4.817 eV/atom. As for the density of states at the Fermi level: 3.95 states/eV/cell.

Lattice parameters (Å, degrees): 5.558 5.558 5.360 90.00 90.00 90.00
Space group P4/mmm (No. 123)
Unique sites:
Sr1 0.000 0.000 0.000
Nb1 0.500 0.500 0.500
Sb1 0.500 0.500 0.000
Te1 0.000 0.500 0.500